*P*
VASP calculation (SCAN) on a crystal of SiAsW2 relaxed with PBEsol.

It has space group P4/mmm (No. 123), with a = 3.079 Å, b = 3.079 Å, c = 6.124 Å, α = 90.00°, β = 90.00° and γ = 90.00°. Symmetry generates all atoms from Si at (0.000, 0.000, 0.000), As at (0.000, 0.000, 0.500) and W at (0.500, 0.500, 0.236).

---

*Q*
VASP calculation (SCAN) on a crystal of SiAsW2 relaxed with PBEsol.

It has space group I-4m2 (No. 119), with a = 3.981 Å, b = 3.981 Å, c = 7.576 Å, α = 90.00°, β = 90.00° and γ = 90.00°. Symmetry generates all atoms from Si at (0.000, 0.000, 0.000), As at (0.000, 0.500, 0.750), W at (0.000, 0.000, 0.500) and W at (0.000, 0.500, 0.250).

---

Result of the stability comparison: *Q* is the least stable of them.